Computed, not measured: a relaxed YWN2F crystal at the PBE with a Hubbard U level of DFT.

Structure (POSCAR):
```
YWN2F
1.0
-1.7897 2.9189 2.8753
-2.9506 1.2587 -3.1145
-2.6296 -2.9084 1.3157
Y N W F
1 2 1 1
direct
0.0000 0.0000 0.0000
0.0000 0.5000 0.0000
0.5000 0.0000 0.0000
0.5000 0.5000 0.5000
0.0000 0.0000 0.5000
```

Computed properties:
E = -31.696 eV/cell
ρ = 6.4 g/cm3
M_tot = 0.40 μB/atom
Energy above the most stable polymorph in this dataset = 23.49 kcal/mol of atoms